No. 1
VASP calculation (GGA-PBE) on an optimized crystal structure of KCaZrTi2.

```
KCaZrTi2
1.0
5.2477 0.0000 0.0000
0.0000 5.4637 0.0000
0.0000 0.0000 5.2477
Ti K Ca Zr
2 1 1 1
Cartesian
2.6239 0.0000 0.0000 Ti
0.0000 0.0000 2.6239 Ti
2.6239 2.7318 2.6239 K
0.0000 0.0000 0.0000 Ca
0.0000 2.7318 0.0000 Zr
```

Values from the calculation:
* energy of formation from the pure elements: 1.74 eV per atom

=====

No. 2
VASP calculation (GGA-PBE) on an optimized crystal structure of TmScUO6.

```
TmScUO6
1.0
-2.5789 -3.5208 -3.4073
4.9639 -1.2970 2.0818
-4.1562 -4.0838 7.3657
Tm O Sc U
2 12 2 2
Cartesian
0.0000 0.0000 0.0000 Tm
-2.0781 -2.0419 3.6829 Tm
-1.0603 -5.7464 3.8225 O
-0.9295 -3.0598 5.3858 O
0.9841 -3.7144 0.1151 O
-2.7553 -5.1873 5.9251 O
-1.4345 -1.7794 -0.1768 O
-0.3367 -7.1223 6.2170 O
1.4185 -5.0911 5.5845 O
-1.4295 -4.5015 -1.6832 O
-0.3417 -4.4002 7.7235 O
-0.7109 -3.1553 2.2178 O
-3.1897 -3.8106 0.4557 O
-0.8417 -5.8419 0.6544 O
1.4106 -3.0593 2.0936 Sc
-3.1818 -5.8424 3.9467 Sc
-1.1037 -3.8005 0.2639 U
-0.6675 -5.1012 5.7764 U
```

Values from the calculation:
* uncorrected formation energy: -2923 kJ/mol of formula units

=====

No. 3
VASP calculation (GGA-PBE) on an optimized crystal structure of LaWN2.

```
LaWN2
1.0
1.3495 5.8600 2.8695
0.7619 3.4903 5.6243
4.0283 3.5683 3.9288
N La W
2 1 1
Cartesian
5.5286 11.6328 11.1861 N
0.6111 1.2858 1.2364 N
3.0698 6.4593 6.2113 La
0.0000 0.0000 0.0000 W
```

Values from the calculation:
* uncorrected formation energy: -117 kJ/mol of formula units
* energy above the lowest structure with this stoichiometry: 29.52 kJ/mol of atoms

=====

Theoretical density for every record listed, in sequence, given in g/cm3: 2.937, 7.298, 7.860.